DyAl8Ga6: relaxed, PBE.

abc: 6.813 6.813 8.111
angles: 65.17 65.17 60.00
Positions (direct):
1 Al 0.139 0.826 0.393
2 Al 0.363 0.363 0.912
3 Al 0.357 0.861 0.607
4 Al 0.643 0.139 0.393
5 Al 0.826 0.643 0.393
6 Al 0.861 0.174 0.607
7 Al 0.174 0.357 0.607
8 Al 0.637 0.637 0.088
9 Ga 0.293 0.488 0.223
10 Ga 0.488 0.995 0.223
11 Ga 0.707 0.512 0.777
12 Ga 0.512 0.005 0.777
13 Ga 0.995 0.293 0.223
14 Ga 0.005 0.707 0.777
15 Dy 0.000 0.000 0.000

Results
ΔH_f (0 K) ... -8 meV/atom
Magnetization ... 0.0000 μB/atom